1.
The following is a DFT calculation (PBE) of a geometry-optimized Cs3MnBi structure.

Calculated formation energy in eV/f.u.: 2.42
M_tot in μB/cell: 4.6

Unit cell a=7.5752 b=7.5752 c=7.5752 alpha=90.00 beta=90.00 gamma=90.00
Space group Pm-3m (No. 221)
Unique sites:
Cs 0.0000 0.0000 0.5000
Mn 0.5000 0.5000 0.5000
Bi 0.0000 0.0000 0.0000

2.
The following is a DFT calculation (PBE) of a geometry-optimized ZrCuO4F6 structure.

Formation energy (no corrections) in kJ/mol of formula units: -1299.1
M_tot in μB/cell: 14.0

Unit cell a=4.9954 b=8.4127 c=8.0425 alpha=90.00 beta=100.59 gamma=90.00
Space group P2_1/c (No. 14)
Unique sites:
Zr 0.0000 0.0000 0.0000
Cu 0.5000 0.0000 0.5000
O 0.1834 0.0568 0.5705
O 0.4502 0.7006 0.0771
F 0.1486 0.2119 0.9234
F 0.2568 0.6343 0.3843
F 0.2694 0.5066 0.7201

3.
The following is a DFT calculation (PBE) of a geometry-optimized Co3RuPt structure.

Calculated formation energy in eV/f.u.: 7.59
M_tot in μB/cell: 3.0

Unit cell a=4.3442 b=4.3442 c=4.3442 alpha=90.00 beta=90.00 gamma=90.00
Space group Pm-3m (No. 221)
Unique sites:
Co 0.0000 0.0000 0.5000
Ru 0.0000 0.0000 0.0000
Pt 0.5000 0.5000 0.5000

4.
The following is a DFT calculation (PBE) of a geometry-optimized Mn2MoHIr structure.

Calculated total energy in eV per atom: -8.34
M_tot in μB/cell: 2.0

Unit cell a=3.7756 b=3.7756 c=3.8460 alpha=90.00 beta=90.00 gamma=90.00
Space group P4/mmm (No. 123)
Unique sites:
Mn 0.0000 0.5000 0.0000
Mo 0.0000 0.0000 0.5000
H 0.0000 0.0000 0.0000
Ir 0.5000 0.5000 0.5000

5.
The following is a DFT calculation (PBE) of a geometry-optimized CeDyU2P4 structure.

Calculated formation energy in eV/f.u.: -10.03
M_tot in μB/cell: 5.1

Unit cell a=6.8766 b=3.9681 c=6.9922 alpha=90.00 beta=109.13 gamma=90.00
Space group P2/m (No. 10)
Unique sites:
Ce 0.0000 0.0000 0.0000
Dy 0.5000 0.5000 0.0000
U 0.0000 0.5000 0.5000
U 0.5000 0.0000 0.5000
P 0.2501 0.0000 0.7426
P 0.2559 0.5000 0.2589

6.
The following is a DFT calculation (PBE) of a geometry-optimized CeHo2Er8 structure.

Calculated formation energy in eV/f.u.: 0.44
M_tot in μB/cell: 2.2

Unit cell a=17.9225 b=4.9656 c=7.8523 alpha=90.00 beta=105.23 gamma=90.00
Space group C2/m (No. 12)
Unique sites:
Ce 0.0000 0.0000 0.0000
Ho 0.2285 0.5000 0.6370
Er 0.0449 0.5000 0.7301
Er 0.0906 0.0000 0.4547
Er 0.1362 0.5000 0.1809
Er 0.1806 0.0000 0.9076

7.
The following is a DFT calculation (PBE) of a geometry-optimized La4Pr2Sm2Y structure.

Calculated formation energy in eV/f.u.: 0.17
M_tot in μB/cell: 0.0

Unit cell a=15.7049 b=5.2426 c=8.2256 alpha=90.00 beta=108.68 gamma=90.00
Space group C2/m (No. 12)
Unique sites:
La 0.0550 0.0000 0.3313
La 0.2227 0.5000 0.3316
Pr 0.1122 0.5000 0.6699
Sm 0.1665 0.0000 0.0004
Y 0.0000 0.5000 0.0000

8.
The following is a DFT calculation (PBE) of a geometry-optimized PrZrBr structure.

Formation energy (no corrections) in kJ/mol of formula units: -172.7
M_tot in μB/cell: 0.0

Unit cell a=6.6855 b=3.6319 c=15.5310 alpha=90.00 beta=98.26 gamma=90.00
Space group C2/m (No. 12)
Unique sites:
Pr 0.2376 0.0000 0.2404
Zr 0.1140 0.0000 0.9307
Br 0.1048 0.5000 0.3759

9.
The following is a DFT calculation (PBE) of a geometry-optimized SrTeI2N structure.

Formation energy (no corrections) in kJ/mol of formula units: 286.0
M_tot in μB/cell: 0.0

Unit cell a=6.4101 b=6.4101 c=4.4032 alpha=90.00 beta=90.00 gamma=90.00
Space group P4/mmm (No. 123)
Unique sites:
Sr 0.0000 0.0000 0.0000
Te 0.5000 0.5000 0.5000
I 0.0000 0.5000 0.0000
N 0.0000 0.0000 0.5000

10.
The following is a DFT calculation (PBE) of a geometry-optimized YVSe2Br structure.

Formation energy (no corrections) in kJ/mol of formula units: -321.3
M_tot in μB/cell: 2.9

Unit cell a=5.0166 b=5.0166 c=4.8558 alpha=90.00 beta=90.00 gamma=90.00
Space group P4/mmm (No. 123)
Unique sites:
Y 0.0000 0.0000 0.0000
V 0.5000 0.5000 0.5000
Se 0.0000 0.5000 0.5000
Br 0.5000 0.5000 0.0000

11.
The following is a DFT calculation (PBE) of a geometry-optimized Er2HgC2 structure.

Calculated formation energy in eV/f.u.: -1.79
M_tot in μB/cell: 0.0

Unit cell a=15.0698 b=3.8143 c=6.7766 alpha=90.00 beta=109.86 gamma=90.00
Space group C2/c (No. 15)
Unique sites:
Er 0.1534 0.1523 0.1230
Hg 0.0000 0.4614 0.7500
C 0.2240 0.3772 0.5243

12.
The following is a DFT calculation (PBE) of a geometry-optimized MgMo2Br structure.

Formation energy (no corrections) in kJ/mol of formula units: 193.1
M_tot in μB/cell: 0.0

Unit cell a=3.2942 b=5.1738 c=4.7902 alpha=90.00 beta=95.00 gamma=90.00
Space group P2/m (No. 10)
Unique sites:
Mg 0.0000 0.0000 0.0000
Mo 0.2941 0.5000 0.1827
Br 0.5000 0.0000 0.5000